[1]
# RbIrOs (PBE, relaxed)
data_RbIrOs
_chemical_formula_sum 'Rb2 Ir2 Os2'
_symmetry_space_group_name_H-M 'P 1 m 1'
_symmetry_Int_Tables_number 6
_symmetry_space_group_name_Hall 'P -2y'
_cell_length_a 5.120
_cell_length_b 4.456
_cell_length_c 6.713
_cell_angle_alpha 90.00
_cell_angle_beta 107.99
_cell_angle_gamma 90.00
loop_
_atom_site_label
_atom_site_type_symbol
_atom_site_fract_x
_atom_site_fract_y
_atom_site_fract_z
_atom_site_occupancy
Rb1 Rb 0.000 0.000 0.000 1
Rb2 Rb 0.490 0.500 0.037 1
Ir1 Ir 0.367 0.000 0.560 1
Ir2 Ir 0.653 0.500 0.564 1
Os1 Os 0.118 0.500 0.483 1
Os2 Os 0.833 0.000 0.477 1
# density: 10667 kg/m3
# formation energy: 0.588 eV per atom

=====

[2]
# Pu3I (PBE, relaxed)
data_Pu3I
_chemical_formula_sum 'Pu6 I2'
_symmetry_space_group_name_H-M 'I 4/m m m'
_symmetry_Int_Tables_number 139
_symmetry_space_group_name_Hall '-I 4 2'
_cell_length_a 4.516
_cell_length_b 4.516
_cell_length_c 9.652
_cell_angle_alpha 90.00
_cell_angle_beta 90.00
_cell_angle_gamma 90.00
loop_
_atom_site_label
_atom_site_type_symbol
_atom_site_fract_x
_atom_site_fract_y
_atom_site_fract_z
_atom_site_occupancy
Pu1 Pu 0.000 0.000 0.000 1
Pu2 Pu 0.000 0.500 0.250 1
I1 I 0.000 0.000 0.500 1
# density: 14492 kg/m3
# raw formation energy: 0.080 eV/atom

=====

[3]
# SrMnAg2 (PBE, relaxed)
data_SrMnAg2
_chemical_formula_sum 'Sr2 Mn2 Ag4'
_symmetry_space_group_name_H-M 'C 1 m 1'
_symmetry_Int_Tables_number 8
_symmetry_space_group_name_Hall 'C -2y'
_cell_length_a 8.033
_cell_length_b 4.642
_cell_length_c 6.117
_cell_angle_alpha 90.00
_cell_angle_beta 116.15
_cell_angle_gamma 90.00
loop_
_atom_site_label
_atom_site_type_symbol
_atom_site_fract_x
_atom_site_fract_y
_atom_site_fract_z
_atom_site_occupancy
Sr1 Sr 0.000 0.000 0.000 1
Mn1 Mn 0.304 0.500 0.411 1
Ag1 Ag 0.201 0.000 0.600 1
Ag2 Ag 0.478 0.000 0.434 1
# density: 5812 kg/m3
# formation energy: 0.117 eV per atom

=====

[4]
# Te2RuO (PBE, relaxed)
data_Te2RuO
_chemical_formula_sum 'Te6 Ru3 O3'
_symmetry_space_group_name_H-M 'R -3 m'
_symmetry_Int_Tables_number 166
_symmetry_space_group_name_Hall '-R 3 2"'
_cell_length_a 3.1363
_cell_length_b 3.1363
_cell_length_c 26.2154
_cell_angle_alpha 90.00
_cell_angle_beta 90.00
_cell_angle_gamma 120.00
loop_
_atom_site_label
_atom_site_type_symbol
_atom_site_fract_x
_atom_site_fract_y
_atom_site_fract_z
_atom_site_occupancy
Te1 Te 0.0000 0.0000 0.0974 1
Ru1 Ru 0.0000 0.0000 0.0000 1
O1 O 0.0000 0.0000 0.5000 1
# density: 8304 kg/m3
# raw formation energy: 0.565 eV/atom

=====

[5]
# Rb5TaBr2O4 (PBE, relaxed)
data_Rb5TaBr2O4
_chemical_formula_sum 'Rb10 Ta2 Br4 O8'
_symmetry_space_group_name_H-M 'A m m 2'
_symmetry_Int_Tables_number 38
_symmetry_space_group_name_Hall 'A 2 -2'
_cell_length_a 9.099
_cell_length_b 10.948
_cell_length_c 6.944
_cell_angle_alpha 90.00
_cell_angle_beta 90.00
_cell_angle_gamma 90.00
loop_
_atom_site_label
_atom_site_type_symbol
_atom_site_fract_x
_atom_site_fract_y
_atom_site_fract_z
_atom_site_occupancy
Rb1 Rb 0.000 0.000 0.000 1
Rb2 Rb 0.303 0.180 0.366 1
Ta1 Ta 0.500 0.000 0.887 1
Br1 Br 0.000 0.191 0.630 1
O1 O 0.335 0.000 0.050 1
O2 O 0.500 0.140 0.729 1
# density: 3995 kg/m3
# raw formation energy: -2.007 eV/atom

=====

[6]
# Li2HfCl (PBE, relaxed)
data_Li2HfCl
_chemical_formula_sum 'Li8 Hf4 Cl4'
_symmetry_space_group_name_H-M 'F m -3 m'
_symmetry_Int_Tables_number 225
_symmetry_space_group_name_Hall '-F 4 2 3'
_cell_length_a 6.915
_cell_length_b 6.915
_cell_length_c 6.915
_cell_angle_alpha 90.00
_cell_angle_beta 90.00
_cell_angle_gamma 90.00
loop_
_atom_site_label
_atom_site_type_symbol
_atom_site_fract_x
_atom_site_fract_y
_atom_site_fract_z
_atom_site_occupancy
Li1 Li 0.250 0.250 0.250 1
Hf1 Hf 0.000 0.000 0.000 1
Cl1 Cl 0.000 0.000 0.500 1
# density: 4577 kg/m3
# raw formation energy: 0.544 eV/atom

=====

[7]
# Pm4ThN4 (PBE, relaxed)
data_Pm4ThN4
_chemical_formula_sum 'Pm8 Th2 N8'
_symmetry_space_group_name_H-M 'I 4/m'
_symmetry_Int_Tables_number 87
_symmetry_space_group_name_Hall '-I 4'
_cell_length_a 8.130
_cell_length_b 8.130
_cell_length_c 5.125
_cell_angle_alpha 90.00
_cell_angle_beta 90.00
_cell_angle_gamma 90.00
loop_
_atom_site_label
_atom_site_type_symbol
_atom_site_fract_x
_atom_site_fract_y
_atom_site_fract_z
_atom_site_occupancy
Pm1 Pm 0.107 0.688 0.000 1
Th1 Th 0.000 0.000 0.500 1
N1 N 0.092 0.710 0.500 1
# density: 8510 kg/m3
# raw formation energy: -1.296 eV/atom

=====

[8]
# Sm3UC3 (PBE, relaxed)
data_Sm3UC3
_chemical_formula_sum 'Sm12 U4 C12'
_symmetry_space_group_name_H-M 'P 42/m n m'
_symmetry_Int_Tables_number 136
_symmetry_space_group_name_Hall '-P 4n 2n'
_cell_length_a 10.191
_cell_length_b 10.191
_cell_length_c 5.252
_cell_angle_alpha 90.00
_cell_angle_beta 90.00
_cell_angle_gamma 90.00
loop_
_atom_site_label
_atom_site_type_symbol
_atom_site_fract_x
_atom_site_fract_y
_atom_site_fract_z
_atom_site_occupancy
Sm1 Sm 0.123 0.377 0.000 1
Sm2 Sm 0.134 0.134 0.500 1
U1 U 0.123 0.877 0.000 1
C1 C 0.104 0.104 0.000 1
C2 C 0.121 0.656 0.000 1
# density: 8830 kg/m3
# formation energy: -0.115 eV per atom

=====

[9]
# Sr2GaPbSe5 (PBE, relaxed)
data_Sr2GaPbSe5
_chemical_formula_sum 'Sr8 Ga4 Pb4 Se20'
_symmetry_space_group_name_H-M 'C m c 21'
_symmetry_Int_Tables_number 36
_symmetry_space_group_name_Hall 'C 2c -2'
_cell_length_a 4.126
_cell_length_b 18.901
_cell_length_c 13.044
_cell_angle_alpha 90.00
_cell_angle_beta 90.00
_cell_angle_gamma 90.00
loop_
_atom_site_label
_atom_site_type_symbol
_atom_site_fract_x
_atom_site_fract_y
_atom_site_fract_z
_atom_site_occupancy
Sr1 Sr 0.000 0.113 0.000 1
Sr2 Sr 0.000 0.122 0.649 1
Ga1 Ga 0.000 0.447 0.740 1
Pb1 Pb 0.000 0.207 0.356 1
Se1 Se 0.000 0.030 0.344 1
Se2 Se 0.000 0.284 0.014 1
Se3 Se 0.000 0.322 0.686 1
Se4 Se 0.000 0.355 0.327 1
Se5 Se 0.000 0.493 0.077 1
# density: 5531 kg/m3
# raw formation energy: -1.154 eV/atom

=====

[10]
# La4I6N (PBE, relaxed)
data_La4I6N
_chemical_formula_sum 'La8 I12 N2'
_symmetry_space_group_name_H-M 'P 63 m c'
_symmetry_Int_Tables_number 186
_symmetry_space_group_name_Hall 'P 6c -2c'
_cell_length_a 10.2356
_cell_length_b 10.2356
_cell_length_c 8.5746
_cell_angle_alpha 90.00
_cell_angle_beta 90.00
_cell_angle_gamma 120.00
loop_
_atom_site_label
_atom_site_type_symbol
_atom_site_fract_x
_atom_site_fract_y
_atom_site_fract_z
_atom_site_occupancy
La1 La 0.2061 0.4121 0.0000 1
La2 La 0.3333 0.6667 0.3325 1
I1 I 0.0568 0.5284 0.6904 1
I2 I 0.1365 0.2730 0.3732 1
N1 N 0.3333 0.6667 0.0418 1
# density: 5682 kg/m3
# raw formation energy: -1.368 eV/atom

=====

[11]
# SrRh4Br (PBE, relaxed)
data_SrRh4Br
_chemical_formula_sum 'Sr4 Rh16 Br4'
_symmetry_space_group_name_H-M 'F -4 3 m'
_symmetry_Int_Tables_number 216
_symmetry_space_group_name_Hall 'F -4 2 3'
_cell_length_a 7.672
_cell_length_b 7.672
_cell_length_c 7.672
_cell_angle_alpha 90.00
_cell_angle_beta 90.00
_cell_angle_gamma 90.00
loop_
_atom_site_label
_atom_site_type_symbol
_atom_site_fract_x
_atom_site_fract_y
_atom_site_fract_z
_atom_site_occupancy
Sr1 Sr 0.000 0.000 0.000 1
Rh1 Rh 0.125 0.125 0.375 1
Br1 Br 0.250 0.250 0.750 1
# density: 8520 kg/m3
# raw formation energy: 0.251 eV/atom

=====

[12]
# RbSb2C2O4F5 (PBE, relaxed)
data_RbSb2C2O4F5
_chemical_formula_sum 'Rb4 Sb8 C8 O16 F20'
_symmetry_space_group_name_H-M 'P 21 21 21'
_symmetry_Int_Tables_number 19
_symmetry_space_group_name_Hall 'P 2ac 2ab'
_cell_length_a 6.185
_cell_length_b 6.611
_cell_length_c 23.203
_cell_angle_alpha 90.00
_cell_angle_beta 90.00
_cell_angle_gamma 90.00
loop_
_atom_site_label
_atom_site_type_symbol
_atom_site_fract_x
_atom_site_fract_y
_atom_site_fract_z
_atom_site_occupancy
Rb1 Rb 0.002 0.005 0.003 1
Sb1 Sb 0.032 0.492 0.114 1
Sb2 Sb 0.051 0.549 0.859 1
C1 C 0.176 0.442 0.736 1
C2 C 0.183 0.375 0.254 1
O1 O 0.054 0.368 0.775 1
O2 O 0.058 0.295 0.219 1
O3 O 0.187 0.379 0.685 1
O4 O 0.207 0.318 0.308 1
F1 F 0.055 0.926 0.468 1
F2 F 0.204 0.735 0.917 1
F3 F 0.205 0.708 0.075 1
F4 F 0.233 0.705 0.597 1
F5 F 0.238 0.656 0.387 1
# density: 3584 kg/m3
# raw formation energy: -1.892 eV/atom

=====

Please write out number 5 again, unchanged.
# Rb5TaBr2O4 (PBE, relaxed)
data_Rb5TaBr2O4
_chemical_formula_sum 'Rb10 Ta2 Br4 O8'
_symmetry_space_group_name_H-M 'A m m 2'
_symmetry_Int_Tables_number 38
_symmetry_space_group_name_Hall 'A 2 -2'
_cell_length_a 9.099
_cell_length_b 10.948
_cell_length_c 6.944
_cell_angle_alpha 90.00
_cell_angle_beta 90.00
_cell_angle_gamma 90.00
loop_
_atom_site_label
_atom_site_type_symbol
_atom_site_fract_x
_atom_site_fract_y
_atom_site_fract_z
_atom_site_occupancy
Rb1 Rb 0.000 0.000 0.000 1
Rb2 Rb 0.303 0.180 0.366 1
Ta1 Ta 0.500 0.000 0.887 1
Br1 Br 0.000 0.191 0.630 1
O1 O 0.335 0.000 0.050 1
O2 O 0.500 0.140 0.729 1
# density: 3995 kg/m3
# raw formation energy: -2.007 eV/atom

=====

The lowest density belongs to which entry?
RbSb2C2O4F5

=====

Which of these has the lowest density?
RbSb2C2O4F5

=====

The highest density belongs to which entry?
Pu3I